4
Lattice="3.7894 0.0000 0.0000 0.0000 5.1634 0.0000 0.0000 0.0000 5.1634" Properties=species:S:1:pos:R:3 comment="GGA-PBE Nd2InRu, optimized geometry" de_polymorph_mev_per_atom=117 total_energy_ev_per_cell=-22.30 formation_enthalpy_0k_kcal_per_mol_atoms=-4.3 density_g_cm3=8.290 pbc="T T T"
Nd 0.0000 0.0000 2.5817
Nd 0.0000 2.5817 0.0000
Ru 1.8947 0.0000 0.0000
In 1.8947 2.5817 2.5817